Entry 1:
Material: Zn3Ag2
Method: DFT, PBE-GGA
State: optimized geometry

abc: 4.410 4.410 5.352
angles: 90.00 90.00 120.00
Element x y z (fractional)
Zn  0.000  0.000  0.000
Zn  0.333  0.667  0.364
Zn  0.667  0.333  0.636
Ag  0.333  0.667  0.852
Ag  0.667  0.333  0.148

Values from the calculation:
magnetization = 0.000 μB/f.u.
E_form = 50 meV per atom
space-group type = P-3m1, No. 164
uncorrected energy = -1.8553 eV/atom
ΔE to the lowest computed polymorph = 0.075 eV per atom


Entry 2:
Material: ZnAg2
Method: DFT, PBE-GGA
State: optimized geometry

abc: 8.358 8.358 8.358
angles: 60.00 60.00 60.00
Element x y z (fractional)
Zn  0.146  0.785  0.785
Zn  0.215  0.215  0.215
Zn  0.215  0.215  0.854
Zn  0.215  0.854  0.215
Zn  0.785  0.146  0.785
Zn  0.785  0.785  0.146
Zn  0.785  0.785  0.785
Zn  0.854  0.215  0.215
Ag  0.000  0.000  0.000
Ag  0.000  0.000  0.500
Ag  0.000  0.500  0.000
Ag  0.190  0.190  0.560
Ag  0.190  0.560  0.190
Ag  0.190  0.560  0.560
Ag  0.440  0.440  0.810
Ag  0.440  0.810  0.440
Ag  0.440  0.810  0.810
Ag  0.500  0.000  0.000
Ag  0.560  0.190  0.190
Ag  0.560  0.190  0.560
Ag  0.560  0.560  0.190
Ag  0.810  0.440  0.440
Ag  0.810  0.440  0.810
Ag  0.810  0.810  0.440

Values from the calculation:
magnetization = 0.000 μB/f.u.
E_form = 39 meV per atom
space-group type = Fd-3m, No. 227
uncorrected energy = -2.2861 eV/atom
ΔE to the lowest computed polymorph = 0.083 eV per atom


Entry 3:
Material: ZnAg4
Method: DFT, PBE-GGA
State: optimized geometry

abc: 11.648 11.648 11.648
angles: 14.56 14.56 14.56
Element x y z (fractional)
Zn  0.000  0.000  0.000
Ag  0.201  0.201  0.201
Ag  0.396  0.396  0.396
Ag  0.604  0.604  0.604
Ag  0.799  0.799  0.799

Values from the calculation:
magnetization = 0.000 μB/f.u.
E_form = 12 meV per atom
space-group type = R-3m, No. 166
uncorrected energy = -2.5241 eV/atom
ΔE to the lowest computed polymorph = 0.017 eV per atom


Entry 4:
Material: ZnAg4
Method: DFT, PBE-GGA
State: optimized geometry

abc: 4.808 4.808 4.808
angles: 90.00 90.00 90.00
Element x y z (fractional)
Zn  0.000  0.000  0.000
Ag  0.000  0.000  0.500
Ag  0.000  0.500  0.000
Ag  0.500  0.000  0.000
Ag  0.500  0.500  0.500

Values from the calculation:
magnetization = 0.000 μB/f.u.
E_form = 534 meV per atom
space-group type = Pm-3m, No. 221
uncorrected energy = -2.0018 eV/atom
ΔE to the lowest computed polymorph = 0.539 eV per atom


Entry 5:
Material: ZnAg
Method: DFT, PBE-GGA
State: optimized geometry

abc: 5.057 5.589 9.234
angles: 90.00 90.00 90.00
Element x y z (fractional)
Zn  0.005  0.121  0.253
Zn  0.176  0.882  0.503
Zn  0.324  0.118  0.003
Zn  0.495  0.879  0.753
Zn  0.505  0.379  0.747
Zn  0.676  0.618  0.497
Zn  0.824  0.382  0.997
Zn  0.995  0.621  0.247
Ag  0.024  0.139  0.759
Ag  0.182  0.385  0.490
Ag  0.318  0.615  0.990
Ag  0.476  0.861  0.259
Ag  0.524  0.361  0.241
Ag  0.682  0.115  0.510
Ag  0.818  0.885  0.010
Ag  0.976  0.639  0.741

Values from the calculation:
magnetization = 0.000 μB/f.u.
E_form = -23 meV per atom
space-group type = P2_12_12_1, No. 19
uncorrected energy = -2.0854 eV/atom


Entry 6:
Material: ZnAg2
Method: DFT, PBE-GGA
State: optimized geometry

abc: 5.150 5.150 5.150
angles: 104.75 104.75 119.39
Element x y z (fractional)
Zn  0.250  0.250  0.000
Zn  0.750  0.750  0.000
Ag  0.158  0.658  0.815
Ag  0.342  0.158  0.500
Ag  0.658  0.842  0.500
Ag  0.842  0.342  0.185

Values from the calculation:
magnetization = 0.000 μB/f.u.
E_form = 16 meV per atom
space-group type = I4/mcm, No. 140
uncorrected energy = -2.3097 eV/atom
ΔE to the lowest computed polymorph = 0.060 eV per atom


Entry 7:
Material: Zn4Ag3
Method: DFT, PBE-GGA
State: optimized geometry

abc: 11.543 11.543 2.729
angles: 90.00 90.00 120.00
Element x y z (fractional)
Zn  0.120  0.402  0.250
Zn  0.282  0.880  0.250
Zn  0.333  0.667  0.750
Zn  0.402  0.282  0.750
Zn  0.598  0.718  0.250
Zn  0.667  0.333  0.250
Zn  0.718  0.120  0.750
Zn  0.880  0.598  0.750
Ag  0.096  0.633  0.250
Ag  0.367  0.463  0.250
Ag  0.463  0.096  0.750
Ag  0.537  0.904  0.250
Ag  0.633  0.537  0.750
Ag  0.904  0.367  0.750

Values from the calculation:
magnetization = 0.000 μB/f.u.
E_form = 159 meV per atom
space-group type = P6_3/m, No. 176
uncorrected energy = -1.7906 eV/atom
ΔE to the lowest computed polymorph = 0.185 eV per atom


Entry 8:
Material: Zn5Ag4
Method: DFT, PBE-GGA
State: optimized geometry

abc: 7.017 7.017 7.017
angles: 92.82 92.82 154.37
Element x y z (fractional)
Zn  0.000  0.000  0.000
Zn  0.332  0.332  0.665
Zn  0.332  0.668  0.000
Zn  0.668  0.332  0.000
Zn  0.668  0.668  0.335
Ag  0.000  0.323  0.323
Ag  0.000  0.677  0.677
Ag  0.323  0.000  0.323
Ag  0.677  0.000  0.677

Values from the calculation:
magnetization = 0.000 μB/f.u.
E_form = 5 meV per atom
space-group type = I4/mmm, No. 139
uncorrected energy = -1.9703 eV/atom
ΔE to the lowest computed polymorph = 0.034 eV per atom


Entry 9:
Material: ZnAg
Method: DFT, PBE-GGA
State: optimized geometry

abc: 9.115 7.975 5.421
angles: 90.00 90.00 90.00
Element x y z (fractional)
Zn  0.077  0.048  0.250
Zn  0.077  0.452  0.750
Zn  0.363  0.610  0.250
Zn  0.363  0.890  0.750
Zn  0.414  0.250  0.000
Zn  0.414  0.250  0.500
Zn  0.586  0.750  0.000
Zn  0.586  0.750  0.500
Zn  0.637  0.110  0.250
Zn  0.637  0.390  0.750
Zn  0.923  0.548  0.250
Zn  0.923  0.952  0.750
Ag  0.124  0.750  0.000
Ag  0.124  0.750  0.500
Ag  0.167  0.136  0.750
Ag  0.167  0.364  0.250
Ag  0.363  0.541  0.750
Ag  0.363  0.959  0.250
Ag  0.637  0.041  0.750
Ag  0.637  0.459  0.250
Ag  0.833  0.636  0.750
Ag  0.833  0.864  0.250
Ag  0.876  0.250  0.000
Ag  0.876  0.250  0.500

Values from the calculation:
magnetization = 0.000 μB/f.u.
E_form = -10 meV per atom
space-group type = Pbcm, No. 57
uncorrected energy = -2.0728 eV/atom


Entry 10:
Material: ZnAg2
Method: DFT, PBE-GGA
State: optimized geometry

abc: 4.353 4.353 4.353
angles: 60.00 60.00 60.00
Element x y z (fractional)
Zn  0.000  0.000  0.000
Ag  0.250  0.250  0.250
Ag  0.750  0.750  0.750

Values from the calculation:
magnetization = 0.000 μB/f.u.
E_form = 153 meV per atom
space-group type = Fm-3m, No. 225
uncorrected energy = -2.1727 eV/atom
ΔE to the lowest computed polymorph = 0.197 eV per atom


Entry 11:
Material: Zn5Ag4
Method: DFT, PBE-GGA
State: optimized geometry

abc: 7.907 7.907 5.406
angles: 90.00 90.00 120.00
Element x y z (fractional)
Zn  0.000  0.305  0.250
Zn  0.000  0.695  0.750
Zn  0.305  0.000  0.250
Zn  0.305  0.305  0.750
Zn  0.333  0.667  0.000
Zn  0.333  0.667  0.500
Zn  0.667  0.333  0.000
Zn  0.667  0.333  0.500
Zn  0.695  0.000  0.750
Zn  0.695  0.695  0.250
Ag  0.000  0.000  0.000
Ag  0.000  0.000  0.500
Ag  0.000  0.364  0.750
Ag  0.000  0.636  0.250
Ag  0.364  0.000  0.750
Ag  0.364  0.364  0.250
Ag  0.636  0.000  0.250
Ag  0.636  0.636  0.750

Values from the calculation:
magnetization = 0.000 μB/f.u.
E_form = 2 meV per atom
space-group type = P6_3/mcm, No. 193
uncorrected energy = -1.9728 eV/atom
ΔE to the lowest computed polymorph = 0.031 eV per atom


Entry 12:
Material: Zn4Ag
Method: DFT, PBE-GGA
State: optimized geometry

abc: 4.832 4.832 4.832
angles: 99.82 99.82 131.22
Element x y z (fractional)
Zn  0.095  0.696  0.791
Zn  0.304  0.095  0.399
Zn  0.696  0.905  0.601
Zn  0.905  0.304  0.209
Ag  0.500  0.500  0.000

Values from the calculation:
magnetization = 0.000 μB/f.u.
E_form = 11 meV per atom
space-group type = I4/m, No. 87
uncorrected energy = -1.5781 eV/atom
ΔE to the lowest computed polymorph = 0.011 eV per atom


Q: The lowest uncorrected energy belongs to which entry?
A: number 3


Q: Which of these has the lowest uncorrected energy?
A: number 3